SrFeSe2 | PBE | relaxed

Output
Uncorrected formation energy in eV/atom: -0.86
V in Å³ per cell: 101
Uncorrected energy in eV per atom: -5.139
Distance to the lowest polymorph of the same formula in meV/atom: 0

abc: 4.973 4.973 4.072
angles: 90.00 90.00 90.00
Space group P4/mmm (No. 123)
Symmetry-distinct sites (fractional):
Sr: 0.000 0.000 0.000
Fe: 0.500 0.500 0.500
Se: 0.000 0.500 0.500

***

La4PmCd5 | PBE | relaxed

Output
V in Å³ per cell: 300
Uncorrected energy in eV per atom: -3.229

abc: 3.919 3.919 19.551
angles: 90.00 90.00 90.00
Space group P4/mmm (No. 123)
Symmetry-distinct sites (fractional):
La: 0.000 0.000 0.101
La: 0.000 0.000 0.304
Pm: 0.000 0.000 0.500
Cd: 0.500 0.500 0.000
Cd: 0.500 0.500 0.202
Cd: 0.500 0.500 0.406

***

V of number 1 (SrFeSe2)? 101 Å³ per cell